Below is a geometry-optimized AcLa4 structure, with properties calculated at the PBE level.

Summary:
As for the energy of formation: 0.018 eV/atom. Its crystal system is tetragonal. As for the density of states at the Fermi level: 21.2 states/eV/cell. The energy above the most stable polymorph in this dataset comes out at 0 meV/atom.

Cell lengths 3.791, 3.791, 26.623 Å; angles 90.00, 90.00, 90.00 degrees
Space group I4/mmm (No. 139)
Asymmetric unit:
Ac (0.000, 0.000, 0.000) [2 per cell]
La (0.000, 0.000, 0.202) [4 per cell]
La (0.000, 0.000, 0.395) [4 per cell]

Below is a geometry-optimized Er3Si structure, with properties calculated at the PBE level.

Summary:
Its crystal system is cubic. The value obtained for the uncorrected formation energy is -0.252 eV per atom. As for the density of states at the Fermi level: 4.1 states/eV/cell. The energy above the most stable polymorph in this dataset comes out at 59 meV/atom.

Cell lengths 4.584, 4.584, 4.584 Å; angles 90.00, 90.00, 90.00 degrees
Space group Pm-3m (No. 221)
Asymmetric unit:
Er (0.000, 0.000, 0.500) [3 per cell]
Si (0.500, 0.500, 0.500) [1 per cell]

Below is a geometry-optimized Pr2Nd3Dy3 structure, with properties calculated at the PBE level.

Summary:
As for the energy of formation: 0.126 eV/atom. Its crystal system is orthorhombic. As for the density of states at the Fermi level: 45.8 states/eV/cell. The energy above the most stable polymorph in this dataset comes out at 35 meV/atom.

Cell lengths 5.664, 12.049, 16.235 Å; angles 90.00, 90.00, 90.00 degrees
Space group Cmcm (No. 63)
Asymmetric unit:
Pr (0.000, 0.220, 0.128) [8 per cell]
Nd (0.000, 0.076, 0.594) [8 per cell]
Nd (0.000, 0.265, 0.750) [4 per cell]
Dy (0.000, 0.381, 0.550) [8 per cell]
Dy (0.000, 0.460, 0.250) [4 per cell]

Below is a geometry-optimized Sr2DyAu structure, with properties calculated at the PBE level.

Summary:
As for the energy of formation: 0.007 eV/atom. Its crystal system is trigonal. As for the density of states at the Fermi level: 14.3 states/eV/cell.

Cell lengths 3.9647, 3.9647, 34.4873 Å; angles 90.00, 90.00, 120.00 degrees
Space group R-3m (No. 166, hexagonal axes)
Asymmetric unit:
Sr (0.0000, 0.0000, 0.1061) [6 per cell]
Dy (0.0000, 0.0000, 0.0000) [3 per cell]
Au (0.0000, 0.0000, 0.5000) [3 per cell]

Below is a geometry-optimized MgAlPt2 structure, with properties calculated at the PBE level.

Summary:
As for the energy of formation: -0.574 eV/atom. Its crystal system is tetragonal. As for the density of states at the Fermi level: 5.2 states/eV/cell.

Cell lengths 6.964, 6.964, 5.666 Å; angles 90.00, 90.00, 90.00 degrees
Space group I-42d (No. 122)
Asymmetric unit:
Mg (0.000, 0.000, 0.000) [4 per cell]
Al (0.000, 0.000, 0.500) [4 per cell]
Pt (0.220, 0.250, 0.625) [8 per cell]

Below is a geometry-optimized CuNi2Mo structure, with properties calculated at the PBE level.

Summary:
As for the energy of formation: 0.073 eV/atom. Its crystal system is monoclinic. As for the density of states at the Fermi level: 6.3 states/eV/cell. The energy above the most stable polymorph in this dataset comes out at 80 meV/atom.

Cell lengths 8.701, 2.612, 4.443 Å; angles 90.00, 100.80, 90.00 degrees
Space group Cm (No. 8)
Asymmetric unit:
Cu (0.000, 0.000, 0.000) [2 per cell]
Ni (0.250, 0.500, 0.217) [2 per cell]
Ni (0.490, 0.000, 0.491) [2 per cell]
Mo (0.241, 0.000, 0.710) [2 per cell]

Below is a geometry-optimized Ho7CdIn5 structure, with properties calculated at the PBE level.

Summary:
As for the energy of formation: -0.223 eV/atom. Its crystal system is orthorhombic. As for the density of states at the Fermi level: 22.8 states/eV/cell.

Cell lengths 6.494, 10.485, 10.729 Å; angles 90.00, 90.00, 90.00 degrees
Space group Imm2 (No. 44)
Asymmetric unit:
Ho (0.000, 0.000, 0.000) [2 per cell]
Ho (0.000, 0.000, 0.364) [2 per cell]
Ho (0.000, 0.316, 0.773) [4 per cell]
Ho (0.000, 0.331, 0.284) [4 per cell]
Ho (0.000, 0.500, 0.032) [2 per cell]
Cd (0.000, 0.000, 0.698) [2 per cell]
In (0.000, 0.500, 0.534) [2 per cell]
In (0.238, 0.238, 0.525) [8 per cell]

Below is a geometry-optimized MgInSi2 structure, with properties calculated at the PBE level.

Summary:
Its crystal system is monoclinic. The value obtained for the uncorrected formation energy is 0.268 eV per atom. As for the density of states at the Fermi level: 2.1 states/eV/cell. The energy above the most stable polymorph in this dataset comes out at 87 meV/atom.

Cell lengths 9.506, 2.991, 5.865 Å; angles 90.00, 100.41, 90.00 degrees
Space group C2/m (No. 12)
Asymmetric unit:
Mg (0.000, 0.000, 0.000) [2 per cell]
In (0.000, 0.500, 0.500) [2 per cell]
Si (0.245, 0.500, 0.181) [4 per cell]

Below is a geometry-optimized LaTbTeO6 structure, with properties calculated at the PBE level.

Summary:
Its crystal system is trigonal. The value obtained for the uncorrected formation energy is -2.469 eV per atom. As for the density of states at the Fermi level: 0.0 states/eV/cell.

Cell lengths 5.6402, 5.6402, 10.0147 Å; angles 90.00, 90.00, 120.00 degrees
Space group P-31c (No. 163)
Asymmetric unit:
La (0.0000, 0.0000, 0.0000) [2 per cell]
Tb (0.3333, 0.6667, 0.2500) [2 per cell]
Te (0.3333, 0.6667, 0.7500) [2 per cell]
O (0.0439, 0.3812, 0.6398) [12 per cell]

Below is a geometry-optimized GdHo3O structure, with properties calculated at the PBE level.

Summary:
Its crystal system is cubic. The value obtained for the uncorrected formation energy is -1.083 eV per atom. As for the density of states at the Fermi level: 5.6 states/eV/cell.

Cell lengths 4.920, 4.920, 4.920 Å; angles 90.00, 90.00, 90.00 degrees
Space group Pm-3m (No. 221)
Asymmetric unit:
Gd (0.000, 0.000, 0.000) [1 per cell]
Ho (0.000, 0.500, 0.500) [3 per cell]
O (0.500, 0.500, 0.500) [1 per cell]

Below is a geometry-optimized KTa2Sb structure, with properties calculated at the PBE level.

Summary:
Its crystal system is monoclinic. The value obtained for the uncorrected formation energy is 0.922 eV per atom. As for the density of states at the Fermi level: 3.2 states/eV/cell.

Cell lengths 2.939, 5.596, 5.572 Å; angles 90.00, 90.95, 90.00 degrees
Space group P2/m (No. 10)
Asymmetric unit:
K (0.000, 0.000, 0.000) [1 per cell]
Ta (0.359, 0.500, 0.245) [2 per cell]
Sb (0.500, 0.000, 0.500) [1 per cell]

Below is a geometry-optimized BaUGa2Cl8 structure, with properties calculated at the PBE level.

Summary:
Its crystal system is triclinic. The value obtained for the uncorrected formation energy is -1.571 eV per atom. As for the density of states at the Fermi level: 3.7 states/eV/cell.

Cell lengths 6.862, 6.961, 9.028 Å; angles 90.15, 90.14, 91.65 degrees
Space group P-1 (No. 2)
Asymmetric unit:
Ba (0.000, 0.000, 0.000) [1 per cell]
U (0.000, 0.000, 0.500) [1 per cell]
Ga (0.499, 0.499, 0.768) [2 per cell]
Cl (0.146, 0.786, 0.282) [2 per cell]
Cl (0.147, 0.786, 0.718) [2 per cell]
Cl (0.308, 0.218, 0.497) [2 per cell]
Cl (0.353, 0.282, 0.000) [2 per cell]